DFT (GGA-PBE) results for a geometry-optimized MoPSe2 structure.

The structure belongs to space group Imm2 (No. 44); the cell edges are 3.147, 4.398 and 12.612 Å and the angles 90.00°, 90.00° and 90.00°. The inequivalent atoms are Mo at (0.000, 0.000, 0.000), P at (0.000, 0.500, 0.345), Se at (0.000, 0.000, 0.444) and Se at (0.000, 0.500, 0.656).

As for the crystal system: orthorhombic. As for the uncorrected energy: -0.416 Ry/atom. The value obtained for the uncorrected formation energy is 143 meV/atom.